# VIrRu PBE optimized geometry
# Total DFT energy (no corrections)   -8.75 eV per atom
# Formation energy   1.0 eV per formula unit
# ΔE to the lowest computed polymorph   14.65 kcal/mol of atoms
# DOS at the Fermi energy   1.317 states/eV per atom
# Volume   16.005 Å³/atom
# Crystal system   orthorhombic
# Space group   Pmmm, No. 47
data_VIrRu
_chemical_formula_sum 'V1 Ir1 Ru1'
_symmetry_space_group_name_H-M 'P 1'
_symmetry_Int_Tables_number 1
_cell_length_a 4.971
_cell_length_b 4.017
_cell_length_c 4.081
_cell_angle_alpha 89.97
_cell_angle_beta 89.98
_cell_angle_gamma 36.10
loop_
_symmetry_equiv_pos_as_xyz
'x,y,z'
loop_
_atom_site_label
_atom_site_type_symbol
_atom_site_fract_x
_atom_site_fract_y
_atom_site_fract_z
V1 V 0.500 0.500 0.000
Ir1 Ir 0.000 0.000 0.500
Ru1 Ru 0.000 0.500 0.000